No. 1
Computed, not measured: LiIn11Hg17 after structural relaxation at the PBE level of DFT.

- energy of formation from the pure elements (meV per atom) = -7
- theoretical density (g/cm3) = 10.1

Unit cell a=9.990 b=9.990 c=9.904 alpha=109.20 beta=109.20 gamma=109.47
Element x y z (fractional)
Li  0.000  0.000  0.000
In  0.010  0.207  0.542
In  0.207  0.010  0.542
In  0.280  0.280  0.423
In  0.390  0.594  0.131
In  0.397  0.828  0.974
In  0.594  0.390  0.131
In  0.604  0.992  0.363
In  0.607  0.805  0.765
In  0.805  0.607  0.765
In  0.828  0.397  0.974
In  0.992  0.604  0.363
Hg  0.066  0.496  0.842
Hg  0.073  0.827  0.731
Hg  0.106  0.352  0.161
Hg  0.118  0.806  0.159
Hg  0.207  0.207  0.890
Hg  0.233  0.565  0.613
Hg  0.352  0.106  0.161
Hg  0.361  0.782  0.442
Hg  0.458  0.458  0.829
Hg  0.496  0.066  0.842
Hg  0.554  0.554  0.435
Hg  0.565  0.233  0.613
Hg  0.782  0.361  0.442
Hg  0.782  0.782  0.093
Hg  0.806  0.118  0.159
Hg  0.811  0.811  0.415
Hg  0.827  0.073  0.731



No. 2
Computed, not measured: Li2In3Hg8 after structural relaxation at the PBE level of DFT.

- offset from the most stable computed form (meV/atom) = 0.0
- energy of formation from the pure elements (meV per atom) = -89
- theoretical density (g/cm3) = 9.9

Unit cell a=8.662 b=4.846 c=8.684 alpha=90.00 beta=114.87 gamma=90.00
Element x y z (fractional)
Li  0.229  0.000  0.271
Li  0.771  0.000  0.729
In  0.000  0.000  0.500
In  0.289  0.500  0.790
In  0.711  0.500  0.210
Hg  0.132  0.500  0.369
Hg  0.133  0.000  0.916
Hg  0.338  0.500  0.162
Hg  0.416  0.000  0.633
Hg  0.584  0.000  0.367
Hg  0.662  0.500  0.838
Hg  0.867  0.000  0.084
Hg  0.868  0.500  0.631



No. 3
Computed, not measured: Li2In4Hg5 after structural relaxation at the PBE level of DFT.

- energy of formation from the pure elements (meV per atom) = -97
- theoretical density (g/cm3) = 8.7

Unit cell a=14.539 b=14.539 c=14.539 alpha=18.95 beta=18.95 gamma=18.95
Element x y z (fractional)
Li  0.142  0.142  0.142
Li  0.858  0.858  0.858
In  0.281  0.281  0.281
In  0.424  0.424  0.424
In  0.576  0.576  0.576
In  0.719  0.719  0.719
Hg  0.209  0.209  0.209
Hg  0.352  0.352  0.352
Hg  0.500  0.500  0.500
Hg  0.648  0.648  0.648
Hg  0.791  0.791  0.791



No. 4
Computed, not measured: Li2In2Hg after structural relaxation at the PBE level of DFT.

- offset from the most stable computed form (meV/atom) = 10.0
- energy of formation from the pure elements (meV per atom) = -216
- theoretical density (g/cm3) = 6.9

Unit cell a=5.034 b=5.034 c=6.857 alpha=124.22 beta=124.22 gamma=51.59
Element x y z (fractional)
Li  0.099  0.099  0.318
Li  0.901  0.901  0.682
In  0.296  0.296  0.883
In  0.704  0.704  0.117
Hg  0.500  0.500  0.500



No. 5
Computed, not measured: LiIn8Hg2 after structural relaxation at the PBE level of DFT.

- offset from the most stable computed form (meV/atom) = 0.0
- energy of formation from the pure elements (meV per atom) = 0
- theoretical density (g/cm3) = 7.6

Unit cell a=5.651 b=5.669 c=9.187 alpha=89.87 beta=81.99 gamma=89.94
Element x y z (fractional)
Li  0.000  0.000  0.000
In  0.000  0.500  0.500
In  0.131  0.500  0.138
In  0.432  0.499  0.682
In  0.497  0.998  0.840
In  0.500  0.000  0.500
In  0.503  0.002  0.160
In  0.568  0.501  0.318
In  0.869  0.500  0.862
Hg  0.001  0.000  0.683
Hg  0.999  0.000  0.317



No. 6
Computed, not measured: Li2In6Hg after structural relaxation at the PBE level of DFT.

- offset from the most stable computed form (meV/atom) = 0.0
- energy of formation from the pure elements (meV per atom) = -114
- theoretical density (g/cm3) = 7.0

Unit cell a=7.370 b=7.370 c=7.214 alpha=110.11 beta=110.11 gamma=36.12
Element x y z (fractional)
Li  0.055  0.055  0.314
Li  0.945  0.945  0.686
In  0.161  0.161  0.996
In  0.276  0.276  0.663
In  0.393  0.393  0.341
In  0.607  0.607  0.659
In  0.724  0.724  0.337
In  0.839  0.839  0.004
Hg  0.500  0.500  0.000



No. 7
Computed, not measured: LiIn3Hg3 after structural relaxation at the PBE level of DFT.

- offset from the most stable computed form (meV/atom) = 295.9
- energy of formation from the pure elements (meV per atom) = 242
- theoretical density (g/cm3) = 6.0

Unit cell a=8.077 b=8.077 c=8.077 alpha=90.00 beta=90.00 gamma=90.00
Element x y z (fractional)
Li  0.000  0.000  0.000
Li  0.500  0.500  0.500
In  0.000  0.250  0.500
In  0.000  0.750  0.500
In  0.250  0.500  0.000
In  0.500  0.000  0.250
In  0.500  0.000  0.750
In  0.750  0.500  0.000
Hg  0.000  0.500  0.250
Hg  0.000  0.500  0.750
Hg  0.250  0.000  0.500
Hg  0.500  0.250  0.000
Hg  0.500  0.750  0.000
Hg  0.750  0.000  0.500



No. 8
Computed, not measured: LiIn5Hg4 after structural relaxation at the PBE level of DFT.

- energy of formation from the pure elements (meV per atom) = -62
- theoretical density (g/cm3) = 9.2

Unit cell a=8.663 b=8.663 c=6.593 alpha=106.66 beta=106.66 gamma=32.03
Element x y z (fractional)
Li  0.000  0.000  0.000
In  0.000  0.000  0.500
In  0.203  0.203  0.601
In  0.391  0.391  0.188
In  0.609  0.609  0.812
In  0.797  0.797  0.399
Hg  0.188  0.188  0.104
Hg  0.414  0.414  0.714
Hg  0.586  0.586  0.286
Hg  0.812  0.812  0.896



No. 9
Computed, not measured: Li2InHg after structural relaxation at the PBE level of DFT.

- energy of formation from the pure elements (meV per atom) = -220
- theoretical density (g/cm3) = 6.5

Unit cell a=9.306 b=9.306 c=9.306 alpha=20.20 beta=20.20 gamma=20.20
Element x y z (fractional)
Li  0.000  0.000  0.000
Li  0.170  0.170  0.170
In  0.752  0.752  0.752
Hg  0.586  0.586  0.586



No. 10
Computed, not measured: LiIn3Hg4 after structural relaxation at the PBE level of DFT.

- offset from the most stable computed form (meV/atom) = 45.0
- energy of formation from the pure elements (meV per atom) = -47
- theoretical density (g/cm3) = 9.1

Unit cell a=7.836 b=7.836 c=3.478 alpha=90.00 beta=90.00 gamma=100.33
Element x y z (fractional)
Li  0.000  0.000  0.000
In  0.000  0.500  0.500
In  0.500  0.000  0.500
In  0.500  0.500  0.000
Hg  0.232  0.232  0.500
Hg  0.246  0.754  0.000
Hg  0.754  0.246  0.000
Hg  0.768  0.768  0.500



No. 11
Computed, not measured: LiInHg after structural relaxation at the PBE level of DFT.

- offset from the most stable computed form (meV/atom) = 0.0
- energy of formation from the pure elements (meV per atom) = -229
- theoretical density (g/cm3) = 8.4

Unit cell a=4.921 b=4.921 c=6.066 alpha=90.00 beta=90.00 gamma=120.00
Element x y z (fractional)
Li  0.333  0.667  0.250
Li  0.667  0.333  0.750
In  0.000  0.000  0.000
In  0.000  0.000  0.500
Hg  0.333  0.667  0.750
Hg  0.667  0.333  0.250



No. 12
Computed, not measured: Li2InHg3 after structural relaxation at the PBE level of DFT.

- energy of formation from the pure elements (meV per atom) = -252
- theoretical density (g/cm3) = 9.6

Unit cell a=3.296 b=3.296 c=11.568 alpha=90.00 beta=90.00 gamma=90.00
Element x y z (fractional)
Li  0.000  0.000  0.148
Li  0.000  0.000  0.852
In  0.000  0.000  0.500
Hg  0.500  0.500  0.000
Hg  0.500  0.500  0.295
Hg  0.500  0.500  0.705



No. 13
Computed, not measured: LiInHg after structural relaxation at the PBE level of DFT.

- offset from the most stable computed form (meV/atom) = 15.5
- energy of formation from the pure elements (meV per atom) = -213
- theoretical density (g/cm3) = 8.3

Unit cell a=6.944 b=6.944 c=6.944 alpha=153.90 beta=153.90 gamma=37.24
Element x y z (fractional)
Li  0.000  0.000  0.000
In  0.665  0.665  0.000
Hg  0.361  0.361  0.000



No. 14
Computed, not measured: LiIn7Hg4 after structural relaxation at the PBE level of DFT.

- offset from the most stable computed form (meV/atom) = 0.0
- energy of formation from the pure elements (meV per atom) = -37
- theoretical density (g/cm3) = 8.5

Unit cell a=4.949 b=4.949 c=14.915 alpha=90.00 beta=90.00 gamma=120.00
Element x y z (fractional)
Li  0.000  0.000  0.000
In  0.000  0.000  0.238
In  0.000  0.000  0.500
In  0.000  0.000  0.762
In  0.333  0.667  0.655
In  0.333  0.667  0.867
In  0.667  0.333  0.133
In  0.667  0.333  0.345
Hg  0.333  0.667  0.076
Hg  0.333  0.667  0.408
Hg  0.667  0.333  0.592
Hg  0.667  0.333  0.924



No. 15
Computed, not measured: LiIn5Hg4 after structural relaxation at the PBE level of DFT.

- energy of formation from the pure elements (meV per atom) = -60
- theoretical density (g/cm3) = 9.2

Unit cell a=4.584 b=6.556 c=8.826 alpha=77.49 beta=75.07 gamma=89.40
Element x y z (fractional)
Li  0.000  0.000  0.000
In  0.000  0.500  0.000
In  0.192  0.094  0.609
In  0.203  0.595  0.607
In  0.797  0.405  0.393
In  0.808  0.906  0.391
Hg  0.405  0.709  0.189
Hg  0.406  0.185  0.188
Hg  0.594  0.815  0.812
Hg  0.595  0.291  0.811



No. 16
Computed, not measured: LiInHg after structural relaxation at the PBE level of DFT.

- offset from the most stable computed form (meV/atom) = 16.1
- energy of formation from the pure elements (meV per atom) = -213
- theoretical density (g/cm3) = 8.3

Unit cell a=5.237 b=5.237 c=5.237 alpha=137.60 beta=137.39 gamma=61.68
Element x y z (fractional)
Li  0.000  0.000  0.000
In  0.328  0.328  0.000
Hg  0.660  0.660  0.000



No. 17
Computed, not measured: LiInHg4 after structural relaxation at the PBE level of DFT.

- offset from the most stable computed form (meV/atom) = 144.0
- energy of formation from the pure elements (meV per atom) = 26
- theoretical density (g/cm3) = 9.8

Unit cell a=6.057 b=6.057 c=6.057 alpha=60.00 beta=60.00 gamma=60.00
Element x y z (fractional)
Li  0.000  0.000  0.000
In  0.250  0.250  0.250
Hg  0.124  0.625  0.625
Hg  0.625  0.124  0.625
Hg  0.625  0.625  0.124
Hg  0.625  0.625  0.625



No. 18
Computed, not measured: LiIn6Hg3 after structural relaxation at the PBE level of DFT.

- energy of formation from the pure elements (meV per atom) = -21
- theoretical density (g/cm3) = 8.2

Unit cell a=8.781 b=8.781 c=7.387 alpha=90.00 beta=90.00 gamma=112.77
Element x y z (fractional)
Li  0.192  0.808  0.500
Li  0.808  0.192  0.000
In  0.011  0.420  0.323
In  0.044  0.956  0.825
In  0.250  0.343  0.040
In  0.343  0.250  0.540
In  0.372  0.628  0.745
In  0.420  0.011  0.823
In  0.580  0.989  0.323
In  0.628  0.372  0.245
In  0.657  0.750  0.040
In  0.750  0.657  0.540
In  0.956  0.044  0.325
In  0.989  0.580  0.823
Hg  0.030  0.284  0.688
Hg  0.284  0.030  0.188
Hg  0.386  0.614  0.338
Hg  0.614  0.386  0.838
Hg  0.716  0.970  0.688
Hg  0.970  0.716  0.188



No. 19
Computed, not measured: LiIn4Hg7 after structural relaxation at the PBE level of DFT.

- offset from the most stable computed form (meV/atom) = 13.4
- energy of formation from the pure elements (meV per atom) = -42
- theoretical density (g/cm3) = 10.1

Unit cell a=5.987 b=6.125 c=9.112 alpha=102.31 beta=99.55 gamma=103.59
Element x y z (fractional)
Li  0.000  0.000  0.000
In  0.217  0.785  0.684
In  0.251  0.832  0.336
In  0.749  0.168  0.664
In  0.783  0.215  0.316
Hg  0.000  0.500  0.000
Hg  0.249  0.282  0.616
Hg  0.286  0.317  0.278
Hg  0.461  0.229  0.961
Hg  0.539  0.771  0.039
Hg  0.714  0.683  0.722
Hg  0.751  0.718  0.384



No. 20
Computed, not measured: LiIn2Hg3 after structural relaxation at the PBE level of DFT.

- offset from the most stable computed form (meV/atom) = 0.0
- energy of formation from the pure elements (meV per atom) = -114
- theoretical density (g/cm3) = 9.6

Unit cell a=8.855 b=8.855 c=5.409 alpha=107.53 beta=107.53 gamma=120.66
Element x y z (fractional)
Li  0.168  0.832  0.000
Li  0.832  0.168  0.000
In  0.000  0.000  0.500
In  0.341  0.659  0.500
In  0.500  0.500  0.000
In  0.659  0.341  0.500
Hg  0.073  0.422  0.748
Hg  0.230  0.230  0.229
Hg  0.422  0.073  0.748
Hg  0.578  0.927  0.252
Hg  0.770  0.770  0.771
Hg  0.927  0.578  0.252